ZrZnTe2 | PBE | relaxed

Its total energy is -4.31 eV per atom. As for the formation energy (no corrections): -1.1 eV per formula unit. For the total magnetization, the calculation gives 0.00 μB/f.u.

The structure belongs to space group Immm (No. 71); the cell edges are 4.027, 5.336 and 8.512 Å and the angles 90.00°, 90.00° and 90.00°. The inequivalent atoms are Zr at (0.000, 0.000, 0.000), Zn at (0.000, 0.000, 0.500) and Te at (0.000, 0.500, 0.218).